a) A relaxed structure of HOsS2Cl, computed with PBE.

```
HOsS2Cl
1.0
3.784 0.000 0.000
0.000 3.784 0.000
0.000 0.000 4.526
H Os S Cl
1 1 2 1
Direct
0.000 0.000 0.000
0.500 0.500 0.500
0.000 0.500 0.000
0.500 0.000 0.000
0.000 0.000 0.500
```

Computed properties:
* calculated volume: 64.8 Å³/cell
* magnetization: 0.000 μB per atom

---

b) A relaxed structure of HOsS2Cl, computed with PBE.

```
HOsS2Cl
1.0
4.499 0.000 0.000
0.000 4.499 0.000
0.000 0.000 5.159
H Os S Cl
1 1 2 1
Direct
0.000 0.000 0.000
0.500 0.500 0.500
0.000 0.500 0.500
0.500 0.000 0.500
0.500 0.500 0.000
```

Computed properties:
* calculated volume: 104.4 Å³/cell
* magnetization: 0.199 μB per atom

---

Energies relative to the minimum, kJ/mol of atoms: a) 61.2; b) 0.0

---

a) A relaxed structure of HOsSCl2, computed with PBE.

```
HOsSCl2
1.0
4.794 0.000 0.000
0.000 4.794 0.000
0.000 0.000 3.113
H Os S Cl
1 1 1 2
Direct
0.000 0.000 0.000
0.500 0.500 0.500
0.000 0.000 0.500
0.000 0.500 0.000
0.500 0.000 0.000
```

Computed properties:
* calculated volume: 71.5 Å³/cell
* magnetization: 0.000 μB per atom

---

b) A relaxed structure of HOsSCl2, computed with PBE.

```
HOsSCl2
1.0
4.948 0.000 0.000
0.000 4.948 0.000
0.000 0.000 4.386
H Os S Cl
1 1 1 2
Direct
0.000 0.000 0.000
0.500 0.500 0.500
0.500 0.500 0.000
0.000 0.500 0.500
0.500 0.000 0.500
```

Computed properties:
* calculated volume: 107.4 Å³/cell
* magnetization: 0.079 μB per atom

---

Energies relative to the minimum, kJ/mol of atoms: a) 72.1; b) 0.0

---

a) A relaxed structure of PHCl2, computed with PBE.

```
PHCl2
1.0
0.000 3.180 3.180
3.180 0.000 3.180
3.180 3.180 0.000
P H Cl
1 1 2
Direct
0.000 0.000 0.000
0.500 0.500 0.500
0.250 0.250 0.250
0.750 0.750 0.750
```

Computed properties:
* calculated volume: 64.3 Å³/cell
* magnetization: 0.074 μB per atom

---

b) A relaxed structure of PHCl2, computed with PBE.

```
PHCl2
1.0
1.603 0.925 7.162
-1.603 0.925 7.162
0.000 -1.851 7.162
P H Cl
1 1 2
Direct
0.000 0.000 0.000
0.500 0.500 0.500
0.106 0.106 0.106
0.894 0.894 0.894
```

Computed properties:
* calculated volume: 63.7 Å³/cell
* magnetization: 0.000 μB per atom

---

Energies relative to the minimum, kJ/mol of atoms: a) 39.4; b) 0.0

---

a) A relaxed structure of PH3Cl, computed with PBE.

```
PH3Cl
1.0
3.336 1.926 1.861
-3.336 1.926 1.861
0.000 -3.852 1.861
P H Cl
1 3 1
Direct
0.000 0.000 0.000
0.217 0.217 0.881
0.217 0.881 0.217
0.881 0.217 0.217
0.538 0.538 0.538
```

Computed properties:
* calculated volume: 71.7 Å³/cell
* magnetization: 0.000 μB per atom

---

b) A relaxed structure of PH3Cl, computed with PBE.

```
PH3Cl
1.0
3.623 0.000 0.000
0.000 3.623 0.000
0.000 0.000 3.623
P H Cl
1 3 1
Direct
0.000 0.000 0.000
0.000 0.500 0.500
0.500 0.000 0.500
0.500 0.500 0.000
0.500 0.500 0.500
```

Computed properties:
* calculated volume: 47.6 Å³/cell
* magnetization: 0.000 μB per atom

---

Energies relative to the minimum, kJ/mol of atoms: a) 0.0; b) 137.0

---

a) A relaxed structure of P2HCl, computed with PBE.

```
P2HCl
1.0
-2.195 2.195 7.104
2.195 -2.195 7.104
2.195 2.195 -7.104
P H Cl
4 2 2
Direct
0.000 0.000 0.000
0.000 0.000 0.500
0.000 0.500 0.000
0.500 0.000 0.500
0.125 0.875 0.250
0.875 0.125 0.750
0.375 0.625 0.750
0.625 0.375 0.250
```

Computed properties:
* calculated volume: 136.9 Å³/cell
* magnetization: 0.000 μB per atom

---

b) A relaxed structure of P2HCl, computed with PBE.

```
P2HCl
1.0
0.000 3.068 3.068
3.068 0.000 3.068
3.068 3.068 0.000
P H Cl
2 1 1
Direct
0.250 0.250 0.250
0.750 0.750 0.750
0.000 0.000 0.000
0.500 0.500 0.500
```

Computed properties:
* calculated volume: 57.8 Å³/cell
* magnetization: 0.000 μB per atom

---

Energies relative to the minimum, kJ/mol of atoms: a) 0.0; b) 54.7

---

a) A relaxed structure of PHCl3, computed with PBE.

```
PHCl3
1.0
4.764 0.000 0.000
0.000 4.764 0.000
0.000 0.000 4.764
P H Cl
1 1 3
Direct
0.000 0.000 0.000
0.500 0.500 0.500
0.000 0.000 0.500
0.000 0.500 0.000
0.500 0.000 0.000
```

Computed properties:
* calculated volume: 108.1 Å³/cell
* magnetization: 0.200 μB per atom

---

b) A relaxed structure of PHCl3, computed with PBE.

```
PHCl3
1.0
4.313 0.000 0.000
0.000 4.313 0.000
0.000 0.000 4.313
P H Cl
1 1 3
Direct
0.000 0.000 0.000
0.500 0.500 0.500
0.000 0.500 0.500
0.500 0.000 0.500
0.500 0.500 0.000
```

Computed properties:
* calculated volume: 80.2 Å³/cell
* magnetization: 0.000 μB per atom

---

Energies relative to the minimum, kJ/mol of atoms: a) 0.0; b) 55.6

---

a) A relaxed structure of P2HPdCl, computed with PBE.

```
P2HPdCl
1.0
4.578 0.000 0.000
0.000 4.578 0.000
0.000 0.000 5.373
P H Pd Cl
2 1 1 1
Direct
0.000 0.500 0.000
0.500 0.000 0.000
0.000 0.000 0.500
0.500 0.500 0.000
0.500 0.500 0.500
```

Computed properties:
* calculated volume: 112.6 Å³/cell
* magnetization: 0.205 μB per atom

---

b) A relaxed structure of P2HPdCl, computed with PBE.

```
P2HPdCl
1.0
3.534 0.000 0.000
0.000 3.534 0.000
0.000 0.000 6.589
P H Pd Cl
2 1 1 1
Direct
0.000 0.500 0.000
0.500 0.000 0.000
0.000 0.000 0.000
0.500 0.500 0.500
0.000 0.000 0.500
```

Computed properties:
* calculated volume: 82.3 Å³/cell
* magnetization: 0.000 μB per atom

---

Energies relative to the minimum, kJ/mol of atoms: a) 35.7; b) 0.0